Computed, not measured: a PBEsol-optimized structure of BeTlCd at the SCAN level of DFT.

Output
Formation energy: 0.5054 eV/atom
N(E_F): 0.3514 states/eV per atom
Magnetic moment: 0.0 μB/f.u.
Density: 9.05 Mg/m³

```
data_BeTlCd
_chemical_formula_sum 'Be1 Tl1 Cd1'
_cell_length_a 4.3205
_cell_length_b 4.3205
_cell_length_c 3.6996
_cell_angle_alpha 90.00
_cell_angle_beta 90.00
_cell_angle_gamma 120.00
_symmetry_space_group_name_H-M 'P 3 m 1'
_symmetry_Int_Tables_number 156
loop_
_symmetry_equiv_pos_as_xyz
'x,y,z'
'-y,x-y,z'
'-x+y,-x,z'
'-y,-x,z'
'-x+y,y,z'
'x,x-y,z'
loop_
_atom_site_label
_atom_site_fract_x
_atom_site_fract_y
_atom_site_fract_z
_atom_site_occupancy
Be1 0.0000 0.0000 0.0000 1
Tl1 0.3333 0.6667 0.6214 1
Cd1 0.6667 0.3333 0.1259 1
```


Computed, not measured: a PBEsol-optimized structure of SrFe2Sn2 at the SCAN level of DFT.

Output
Formation energy: 0.0312 eV/atom
N(E_F): 0.4833 states/eV per atom
Magnetic moment: 4.5 μB/f.u.
Density: 7.09 Mg/m³

```
data_SrFe2Sn2
_chemical_formula_sum 'Sr2 Fe4 Sn4'
_cell_length_a 4.593
_cell_length_b 4.593
_cell_length_c 9.702
_cell_angle_alpha 90.00
_cell_angle_beta 90.00
_cell_angle_gamma 90.00
_symmetry_space_group_name_H-M 'I 4/m m m'
_symmetry_Int_Tables_number 139
_symmetry_space_group_name_Hall '-I 4 2'
loop_
_atom_site_label
_atom_site_fract_x
_atom_site_fract_y
_atom_site_fract_z
_atom_site_occupancy
Sr1 0.000 0.000 0.000 1
Fe1 0.000 0.000 0.391 1
Sn1 0.000 0.500 0.250 1
```


Computed, not measured: a PBEsol-optimized structure of Tc2NiPIr at the SCAN level of DFT.

Output
Formation energy: 1.6869 eV/atom
N(E_F): 0.9543 states/eV per atom
Magnetic moment: 3.1 μB/f.u.
Density: 9.65 Mg/m³

```
data_Tc2NiPIr
_chemical_formula_sum 'Tc2 Ni1 P1 Ir1'
_cell_length_a 4.284
_cell_length_b 4.284
_cell_length_c 4.482
_cell_angle_alpha 90.00
_cell_angle_beta 90.00
_cell_angle_gamma 90.00
_symmetry_space_group_name_H-M 'P 4/m m m'
_symmetry_Int_Tables_number 123
_symmetry_space_group_name_Hall '-P 4 2'
loop_
_atom_site_label
_atom_site_fract_x
_atom_site_fract_y
_atom_site_fract_z
_atom_site_occupancy
Tc1 0.000 0.500 0.000 1
Ni1 0.000 0.000 0.000 1
P1 0.500 0.500 0.500 1
Ir1 0.000 0.000 0.500 1
```


Computed, not measured: a PBEsol-optimized structure of LiZn2Ag at the SCAN level of DFT.

Output
Formation energy: -0.1367 eV/atom
N(E_F): 0.2782 states/eV per atom
Magnetic moment: 0.0 μB/f.u.
Density: 7.02 Mg/m³

```
data_LiZn2Ag
_chemical_formula_sum 'Li1 Zn2 Ag1'
_cell_length_a 2.693
_cell_length_b 3.932
_cell_length_c 5.487
_cell_angle_alpha 90.00
_cell_angle_beta 90.00
_cell_angle_gamma 90.00
_symmetry_space_group_name_H-M 'P m m 2'
_symmetry_Int_Tables_number 25
loop_
_symmetry_equiv_pos_as_xyz
'x,y,z'
'-x,-y,z'
'-x,y,z'
'x,-y,z'
loop_
_atom_site_label
_atom_site_fract_x
_atom_site_fract_y
_atom_site_fract_z
_atom_site_occupancy
Li1 0.000 0.000 0.000 1
Zn1 0.000 0.000 0.493 1
Zn2 0.500 0.500 0.250 1
Ag1 0.500 0.500 0.753 1
```


Computed, not measured: a PBEsol-optimized structure of RbSrCS2 at the SCAN level of DFT.

Output
N(E_F): 0.9927 states/eV per atom
Magnetic moment: 1.0 μB/f.u.
Density: 1.68 Mg/m³
Energy relative to the elements, uncorrected: 0.847 eV per atom

```
data_RbSrCS2
_chemical_formula_sum 'Rb1 Sr1 C1 S2'
_cell_length_a 5.420
_cell_length_b 5.420
_cell_length_c 8.391
_cell_angle_alpha 90.00
_cell_angle_beta 90.00
_cell_angle_gamma 90.00
_symmetry_space_group_name_H-M 'P 4/m m m'
_symmetry_Int_Tables_number 123
_symmetry_space_group_name_Hall '-P 4 2'
loop_
_atom_site_label
_atom_site_fract_x
_atom_site_fract_y
_atom_site_fract_z
_atom_site_occupancy
Rb1 0.000 0.000 0.000 1
Sr1 0.000 0.000 0.500 1
C1 0.500 0.500 0.000 1
S1 0.000 0.500 0.500 1
```


Computed, not measured: a PBEsol-optimized structure of CrRuRh2 at the SCAN level of DFT.

Output
Formation energy: -0.0755 eV/atom
N(E_F): 0.9793 states/eV per atom
Magnetic moment: 1.7 μB/f.u.
Density: 11.53 Mg/m³

```
data_CrRuRh2
_chemical_formula_sum 'Cr2 Ru2 Rh4'
_cell_length_a 3.710
_cell_length_b 3.710
_cell_length_c 7.506
_cell_angle_alpha 90.00
_cell_angle_beta 90.00
_cell_angle_gamma 90.00
_symmetry_space_group_name_H-M 'I 4/m m m'
_symmetry_Int_Tables_number 139
_symmetry_space_group_name_Hall '-I 4 2'
loop_
_atom_site_label
_atom_site_fract_x
_atom_site_fract_y
_atom_site_fract_z
_atom_site_occupancy
Cr1 0.000 0.000 0.000 1
Ru1 0.000 0.000 0.500 1
Rh1 0.000 0.500 0.250 1
```


Computed, not measured: a PBEsol-optimized structure of MgRePb at the SCAN level of DFT.

Output
Formation energy: 0.7104 eV/atom
N(E_F): 0.5712 states/eV per atom
Magnetic moment: 1.1 μB/f.u.
Density: 11.40 Mg/m³
Distance to the lowest polymorph of the same formula: 0 meV per atom

```
data_MgRePb
_chemical_formula_sum 'Mg2 Re2 Pb2'
_cell_length_a 3.017
_cell_length_b 3.017
_cell_length_c 13.369
_cell_angle_alpha 90.00
_cell_angle_beta 90.00
_cell_angle_gamma 90.00
_symmetry_space_group_name_H-M 'I 4 m m'
_symmetry_Int_Tables_number 107
_symmetry_space_group_name_Hall 'I 4 -2'
loop_
_atom_site_label
_atom_site_fract_x
_atom_site_fract_y
_atom_site_fract_z
_atom_site_occupancy
Mg1 0.000 0.000 0.000 1
Re1 0.000 0.000 0.366 1
Pb1 0.000 0.000 0.711 1
```


Computed, not measured: a PBEsol-optimized structure of Ba2FeAg at the SCAN level of DFT.

Output
Formation energy: 0.3825 eV/atom
N(E_F): 0.9091 states/eV per atom
Magnetic moment: 3.4 μB/f.u.
Density: 5.92 Mg/m³
Distance to the lowest polymorph of the same formula: 213 meV per atom

```
data_Ba2FeAg
_chemical_formula_sum 'Ba2 Fe1 Ag1'
_cell_length_a 3.653
_cell_length_b 3.653
_cell_length_c 9.214
_cell_angle_alpha 90.00
_cell_angle_beta 90.00
_cell_angle_gamma 90.00
_symmetry_space_group_name_H-M 'P 4 m m'
_symmetry_Int_Tables_number 99
loop_
_symmetry_equiv_pos_as_xyz
'x,y,z'
'-y,x,z'
'-x,-y,z'
'y,-x,z'
'-x,y,z'
'y,x,z'
'x,-y,z'
'-y,-x,z'
loop_
_atom_site_label
_atom_site_fract_x
_atom_site_fract_y
_atom_site_fract_z
_atom_site_occupancy
Ba1 0.000 0.000 0.000 1
Ba2 0.500 0.500 0.413 1
Fe1 0.000 0.000 0.660 1
Ag1 0.500 0.500 0.758 1
```


Computed, not measured: a PBEsol-optimized structure of RePbW2 at the SCAN level of DFT.

Output
Formation energy: 0.7616 eV/atom
N(E_F): 0.5506 states/eV per atom
Magnetic moment: 0.0 μB/f.u.
Density: 17.80 Mg/m³

```
data_RePbW2
_chemical_formula_sum 'Re2 Pb2 W4'
_cell_length_a 3.217
_cell_length_b 4.665
_cell_length_c 9.462
_cell_angle_alpha 90.00
_cell_angle_beta 90.00
_cell_angle_gamma 90.00
_symmetry_space_group_name_H-M 'C m m 2'
_symmetry_Int_Tables_number 35
loop_
_symmetry_equiv_pos_as_xyz
'x,y,z'
'-x,-y,z'
'-x,y,z'
'x,-y,z'
'x+1/2,y+1/2,z'
'-x+1/2,-y+1/2,z'
'-x+1/2,y+1/2,z'
'x+1/2,-y+1/2,z'
loop_
_atom_site_label
_atom_site_fract_x
_atom_site_fract_y
_atom_site_fract_z
_atom_site_occupancy
Re1 0.000 0.000 0.000 1
Pb1 0.000 0.500 0.716 1
W1 0.000 0.000 0.442 1
W2 0.000 0.500 0.216 1
```


Computed, not measured: a PBEsol-optimized structure of MnMo2Pt at the SCAN level of DFT.

Output
Formation energy: -0.2149 eV/atom
N(E_F): 0.8151 states/eV per atom
Magnetic moment: 1.6 μB/f.u.
Density: 13.07 Mg/m³
Distance to the lowest polymorph of the same formula: 24 meV per atom

```
data_MnMo2Pt
_chemical_formula_sum 'Mn2 Mo4 Pt2'
_cell_length_a 3.776
_cell_length_b 3.776
_cell_length_c 7.875
_cell_angle_alpha 90.00
_cell_angle_beta 90.00
_cell_angle_gamma 90.00
_symmetry_space_group_name_H-M 'I 4/m m m'
_symmetry_Int_Tables_number 139
_symmetry_space_group_name_Hall '-I 4 2'
loop_
_atom_site_label
_atom_site_fract_x
_atom_site_fract_y
_atom_site_fract_z
_atom_site_occupancy
Mn1 0.000 0.000 0.000 1
Mo1 0.000 0.500 0.250 1
Pt1 0.000 0.000 0.500 1
```


Computed, not measured: a PBEsol-optimized structure of LiZrPb2 at the SCAN level of DFT.

Output
Formation energy: -0.3386 eV/atom
N(E_F): 0.5031 states/eV per atom
Magnetic moment: 0.0 μB/f.u.
Density: 9.26 Mg/m³

```
data_LiZrPb2
_chemical_formula_sum 'Li1 Zr1 Pb2'
_cell_length_a 3.178
_cell_length_b 3.178
_cell_length_c 9.107
_cell_angle_alpha 90.00
_cell_angle_beta 90.00
_cell_angle_gamma 90.00
_symmetry_space_group_name_H-M 'P 4/m m m'
_symmetry_Int_Tables_number 123
_symmetry_space_group_name_Hall '-P 4 2'
loop_
_atom_site_label
_atom_site_fract_x
_atom_site_fract_y
_atom_site_fract_z
_atom_site_occupancy
Li1 0.000 0.000 0.000 1
Zr1 0.000 0.000 0.500 1
Pb1 0.500 0.500 0.245 1
```


Computed, not measured: a PBEsol-optimized structure of Al2CdHg at the SCAN level of DFT.

Output
Formation energy: 0.1423 eV/atom
N(E_F): 0.3473 states/eV per atom
Magnetic moment: 0.0 μB/f.u.
Density: 7.92 Mg/m³
Distance to the lowest polymorph of the same formula: 2 meV per atom

```
data_Al2CdHg
_chemical_formula_sum 'Al4 Cd2 Hg2'
_cell_length_a 4.263
_cell_length_b 4.263
_cell_length_c 8.464
_cell_angle_alpha 90.00
_cell_angle_beta 90.00
_cell_angle_gamma 90.00
_symmetry_space_group_name_H-M 'I -4 m 2'
_symmetry_Int_Tables_number 119
_symmetry_space_group_name_Hall 'I -4 -2'
loop_
_atom_site_label
_atom_site_fract_x
_atom_site_fract_y
_atom_site_fract_z
_atom_site_occupancy
Al1 0.000 0.000 0.000 1
Al2 0.000 0.500 0.250 1
Cd1 0.000 0.000 0.500 1
Hg1 0.000 0.500 0.750 1
```